# TbCdNO

An optimized crystal structure of TbCdNO (PBE, the Open Quantum Materials Database).

Summary:
- distance to the lowest polymorph of the same formula (eV per formula unit) = 0.334
- raw total energy (eV per atom) = -6.046
- space-group type = No. 29

abc: 6.2938 7.4304 6.0676
angles: 90.00 90.00 90.00
With the nearest neighbours (Å) after each atom.
Atoms (fractional coordinates):
1 Tb 0.0798 0.1315 0.0000  1 N 2.15, 3 O 2.19-2.23
2 Tb 0.4202 0.1315 0.5000  1 N 2.15, 3 O 2.19-2.23
3 Tb 0.5798 0.8685 0.0000  1 N 2.15, 3 O 2.19-2.23
4 Tb 0.9202 0.8685 0.5000  1 N 2.15, 3 O 2.19-2.23
5 Cd 0.1157 0.5924 0.0012  3 N 2.19-2.24
6 Cd 0.3843 0.5924 0.5012  3 N 2.19-2.24
7 Cd 0.6157 0.4076 0.0012  3 N 2.19-2.24
8 Cd 0.8843 0.4076 0.5012  3 N 2.19-2.24
9 N 0.0667 0.6371 0.6481  1 Tb 2.15, 3 Cd 2.19-2.24
10 N 0.4333 0.6371 0.1481  1 Tb 2.15, 3 Cd 2.19-2.24
11 N 0.5667 0.3629 0.6481  1 Tb 2.15, 3 Cd 2.19-2.24
12 N 0.9333 0.3629 0.1481  1 Tb 2.15, 3 Cd 2.19-2.24
13 O 0.1000 0.0968 0.6362  3 Tb 2.19-2.23
14 O 0.4000 0.0968 0.1362  3 Tb 2.19-2.23
15 O 0.6000 0.9032 0.6362  3 Tb 2.19-2.23
16 O 0.9000 0.9032 0.1362  3 Tb 2.19-2.23

---

# TbCdNO

An optimized crystal structure of TbCdNO (PBE, the Open Quantum Materials Database).

Summary:
- distance to the lowest polymorph of the same formula (eV per formula unit) = 0.234
- raw total energy (eV per atom) = -6.071
- space-group type = No. 57

abc: 8.1284 6.4480 4.9287
angles: 90.00 90.00 90.00
With the nearest neighbours (Å) after each atom.
Atoms (fractional coordinates):
1 Tb 0.1361 0.0657 0.2500  1 O 2.23, 4 N 2.27-2.47
2 Tb 0.1361 0.4343 0.7500  1 O 2.23, 4 N 2.27-2.47
3 Tb 0.8639 0.5657 0.2500  1 O 2.23, 4 N 2.27-2.47
4 Tb 0.8639 0.9343 0.7500  1 O 2.23, 4 N 2.27-2.47
5 Cd 0.3702 0.5659 0.2500  4 O 2.22-2.47, 1 N 2.24
6 Cd 0.3702 0.9341 0.7500  4 O 2.22-2.47, 1 N 2.24
7 Cd 0.6298 0.0659 0.2500  4 O 2.22-2.47, 1 N 2.24
8 Cd 0.6298 0.4341 0.7500  4 O 2.22-2.47, 1 N 2.24
9 N 0.1210 0.0827 0.7500  1 Cd 2.24, 4 Tb 2.27-2.47
10 N 0.1210 0.4173 0.2500  1 Cd 2.24, 4 Tb 2.27-2.47
11 N 0.8790 0.5827 0.7500  1 Cd 2.24, 4 Tb 2.27-2.47
12 N 0.8790 0.9173 0.2500  1 Cd 2.24, 4 Tb 2.27-2.47
13 O 0.3836 0.5840 0.7500  4 Cd 2.22-2.47, 1 Tb 2.23
14 O 0.3836 0.9160 0.2500  4 Cd 2.22-2.47, 1 Tb 2.23
15 O 0.6164 0.0840 0.7500  4 Cd 2.22-2.47, 1 Tb 2.23
16 O 0.6164 0.4160 0.2500  4 Cd 2.22-2.47, 1 Tb 2.23

---

# TbCdNO

An optimized crystal structure of TbCdNO (PBE, the Open Quantum Materials Database).

Summary:
- distance to the lowest polymorph of the same formula (eV per formula unit) = 0.060
- raw total energy (eV per atom) = -6.114
- space-group type = No. 26

abc: 3.9026 6.2419 5.4974
angles: 90.00 90.00 90.00
With the nearest neighbours (Å) after each atom.
Atoms (fractional coordinates):
1 Tb 0.0000 0.1897 0.0000  2 O 2.20, 2 N 2.23-2.28
2 Tb 0.0000 0.8103 0.5000  2 O 2.20, 2 N 2.23-2.28
3 Cd 0.5000 0.3025 0.4925  2 N 2.19, 2 O 2.29-2.35
4 Cd 0.5000 0.6975 0.9925  2 N 2.19, 2 O 2.29-2.35
5 N 0.0000 0.1595 0.4140  2 Cd 2.19, 2 Tb 2.23-2.28
6 N 0.0000 0.8405 0.9140  2 Cd 2.19, 2 Tb 2.23-2.28
7 O 0.5000 0.3363 0.9186  2 Tb 2.20, 2 Cd 2.29-2.35
8 O 0.5000 0.6637 0.4186  2 Tb 2.20, 2 Cd 2.29-2.35

---

# TbCdNO

An optimized crystal structure of TbCdNO (PBE, the Open Quantum Materials Database).

Summary:
- distance to the lowest polymorph of the same formula (eV per formula unit) = 0.753
- raw total energy (eV per atom) = -5.941
- space-group type = No. 129

abc: 3.8635 3.8635 8.0530
angles: 90.00 90.00 90.00
With the nearest neighbours (Å) after each atom.
Atoms (fractional coordinates):
1 Tb 0.2500 0.2500 0.1392  4 O 2.23
2 Tb 0.7500 0.7500 0.8608  4 O 2.23
3 Cd 0.2500 0.7500 0.5000  4 N 2.41
4 Cd 0.7500 0.2500 0.5000  4 N 2.41
5 N 0.2500 0.2500 0.6786  4 Cd 2.41
6 N 0.7500 0.7500 0.3214  4 Cd 2.41
7 O 0.2500 0.7500 0.0000  4 Tb 2.23
8 O 0.7500 0.2500 0.0000  4 Tb 2.23

---

# TbCdNO

An optimized crystal structure of TbCdNO (PBE, the Open Quantum Materials Database).

Summary:
- distance to the lowest polymorph of the same formula (eV per formula unit) = 0.240
- raw total energy (eV per atom) = -6.069
- space-group type = No. 26

abc: 3.7084 6.2877 5.9559
angles: 90.00 90.00 90.00
With the nearest neighbours (Å) after each atom.
Atoms (fractional coordinates):
1 Tb 0.0000 0.1734 0.0000  2 O 2.19-2.21, 2 N 2.22
2 Tb 0.0000 0.8266 0.5000  2 O 2.19-2.21, 2 N 2.22
3 Cd 0.5000 0.3497 0.5053  2 N 2.19-2.20, 2 O 2.37
4 Cd 0.5000 0.6503 0.0053  2 N 2.19-2.20, 2 O 2.37
5 N 0.5000 0.3234 0.8721  2 Cd 2.19-2.20, 2 Tb 2.22
6 N 0.5000 0.6766 0.3721  2 Cd 2.19-2.20, 2 Tb 2.22
7 O 0.0000 0.1531 0.3702  2 Tb 2.19-2.21, 2 Cd 2.37
8 O 0.0000 0.8469 0.8702  2 Tb 2.19-2.21, 2 Cd 2.37

---

# CdTcNO

An optimized crystal structure of CdTcNO (PBE, the Open Quantum Materials Database).

Summary:
- distance to the lowest polymorph of the same formula (eV per formula unit) = 0.000
- raw total energy (eV per atom) = -6.421
- space-group type = No. 26

abc: 2.9400 5.7499 6.7375
angles: 90.00 90.00 90.00
With the nearest neighbours (Å) after each atom.
Atoms (fractional coordinates):
1 Cd 0.0000 0.1764 0.0000  2 O 2.22-2.43
2 Cd 0.0000 0.8236 0.5000  2 O 2.22-2.43
3 Tc 0.5000 0.4007 0.5502  2 N 1.78-1.94
4 Tc 0.5000 0.5993 0.0502  2 N 1.78-1.94
5 N 0.5000 0.4059 0.2868  2 Tc 1.78-1.94
6 N 0.5000 0.5941 0.7868  2 Tc 1.78-1.94
7 O 0.0000 0.1726 0.6400  2 Tc 2.06, 1 Cd 2.22
8 O 0.0000 0.8274 0.1400  2 Tc 2.06, 1 Cd 2.22

---

# CdTcNO

An optimized crystal structure of CdTcNO (PBE, the Open Quantum Materials Database).

Summary:
- distance to the lowest polymorph of the same formula (eV per formula unit) = 0.071
- raw total energy (eV per atom) = -6.403
- space-group type = No. 29

abc: 5.1739 7.6558 5.2463
angles: 90.00 90.00 90.00
With the nearest neighbours (Å) after each atom.
Atoms (fractional coordinates):
1 Cd 0.0943 0.1137 0.0000  1 N 2.20, 3 O 2.24-2.33
2 Cd 0.4057 0.1137 0.5000  1 N 2.20, 3 O 2.24-2.33
3 Cd 0.5943 0.8863 0.0000  1 N 2.20, 3 O 2.24-2.33
4 Cd 0.9057 0.8863 0.5000  1 N 2.20, 3 O 2.24-2.33
5 Tc 0.1206 0.5674 0.0144  3 N 1.91-2.07, 1 O 2.12
6 Tc 0.3794 0.5674 0.5144  3 N 1.91-2.07, 1 O 2.12
7 Tc 0.6206 0.4326 0.0144  3 N 1.91-2.07, 1 O 2.12
8 Tc 0.8794 0.4326 0.5144  3 N 1.91-2.07, 1 O 2.12
9 N 0.0262 0.6360 0.6690  3 Tc 1.91-2.07
10 N 0.4738 0.6360 0.1690  3 Tc 1.91-2.07
11 N 0.5262 0.3640 0.6690  3 Tc 1.91-2.07
12 N 0.9738 0.3640 0.1690  3 Tc 1.91-2.07
13 O 0.0249 0.8310 0.0979  1 Tc 2.12, 3 Cd 2.24-2.33
14 O 0.4751 0.8310 0.5979  1 Tc 2.12, 3 Cd 2.24-2.33
15 O 0.5249 0.1690 0.0979  1 Tc 2.12, 3 Cd 2.24-2.33
16 O 0.9751 0.1690 0.5979  1 Tc 2.12, 3 Cd 2.24-2.33

---

# CdTcNO

An optimized crystal structure of CdTcNO (PBE, the Open Quantum Materials Database).

Summary:
- distance to the lowest polymorph of the same formula (eV per formula unit) = 1.026
- raw total energy (eV per atom) = -6.164
- space-group type = No. 129

abc: 4.0322 4.0322 8.2210
angles: 90.00 90.00 90.00
With the nearest neighbours (Å) after each atom.
Atoms (fractional coordinates):
1 Cd 0.2500 0.7500 0.0000  4 N 2.68, 4 Cd 2.85
2 Cd 0.7500 0.2500 0.0000  4 N 2.68, 4 Cd 2.85
3 Tc 0.2500 0.2500 0.4199  1 N 1.68
4 Tc 0.7500 0.7500 0.5801  1 N 1.68
5 N 0.2500 0.2500 0.2153  1 Tc 1.68
6 N 0.7500 0.7500 0.7847  1 Tc 1.68
7 O 0.2500 0.7500 0.5000  4 Tc 2.12
8 O 0.7500 0.2500 0.5000  4 Tc 2.12

---

Looking at total moment for the records above, in order, we have 0.0002 0.0002 0.0002 0.0003 0.0002 0.0002 0.0003 0.0005 μB/atom.
Looking at volume for the records above, in order, we have 283.8 258.3 133.9 120.2 138.9 113.9 207.8 133.7 Å³/cell.